9
Lattice="-0.078 -1.744 5.100 1.072 -7.544 -5.411 7.322 3.166 1.194" Properties=species:S:1:pos:R:3 comment="PBE KRb2Ge2Te4, optimized geometry" formation_energy_uncorrected_kj_per_mol_atoms=-57.2 total_magnetization_mub_per_cell=0.00 crystal_system=monoclinic pbc="T T T"
K 0.000 0.000 0.000
Rb 3.883 -5.631 0.983
Rb 4.432 -0.490 -0.100
Ge 7.972 -2.316 -0.670
Ge 0.344 -3.805 1.553
Te 6.723 -3.103 1.891
Te 1.593 -3.018 -1.007
Te 2.889 -6.886 -2.310
Te 5.427 0.765 3.193